1.
Entry from the Alexandria database: NaCe2Pb3 after structural relaxation (PBE).

Summary:
The space group is No. 65. For the formation energy, the calculation gives -313 meV/atom. As for the polymorph energy (0 for the lowest one): 0 meV/atom.

Unit cell a=3.500 b=5.826 c=9.169 alpha=108.52 beta=90.00 gamma=90.00
Sites, in units of the cell vectors:
Pb1 0.500 0.500 0.000
Na1 0.000 0.000 0.000
Ce1 0.000 0.664 0.328
Pb2 0.500 0.836 0.671
Ce2 0.000 0.336 0.672
Pb3 0.500 0.164 0.329



2.
Entry from the Alexandria database: Np2TePd9 after structural relaxation (PBE).

Summary:
The space group is No. 123. The calculation puts the formation energy from raw total energies at -0.357 eV/atom.

Unit cell a=4.132 b=4.132 c=12.347 alpha=90.00 beta=90.00 gamma=90.00
Sites, in units of the cell vectors:
Te1 0.000 0.000 0.000
Pd1 0.500 0.500 0.000
Pd2 0.500 0.500 0.334
Pd3 0.500 0.000 0.170
Pd4 0.500 0.500 0.666
Np1 0.000 0.000 0.670
Np2 0.000 0.000 0.330
Pd5 0.000 0.500 0.500
Pd6 0.500 0.000 0.830
Pd7 0.000 0.500 0.830
Pd8 0.500 0.000 0.500
Pd9 0.000 0.500 0.170



3.
Entry from the Alexandria database: Pm2Zn2Ga after structural relaxation (PBE).

Summary:
The space group is No. 12. For the formation energy, the calculation gives -431 meV/atom.

Unit cell a=4.509 b=5.792 c=9.853 alpha=86.10 beta=76.77 gamma=67.09
Sites, in units of the cell vectors:
Pm1 0.686 0.290 0.338
Zn1 0.626 0.862 0.885
Pm2 0.314 0.710 0.662
Zn2 0.918 0.722 0.442
Zn3 0.374 0.138 0.115
Pm3 0.090 0.713 0.106
Pm4 0.910 0.287 0.894
Zn4 0.082 0.278 0.558
Ga1 0.614 0.114 0.658
Ga2 0.386 0.886 0.342



Respective V values: 177.3 210.8 230.7 Å³ per cell.